# LaCr2I | the Alexandria database | GGA-PBE | relaxed
# E_form (uncorrected), eV/atom: 0.8272
# Total moment, Bohr magnetons per cell: 0.00
# ΔE to the lowest computed polymorph, meV per atom: 0
data_LaCr2I
_chemical_formula_sum 'La2 Cr4 I2'
_symmetry_space_group_name_H-M 'P 1'
_symmetry_Int_Tables_number 1
_cell_length_a 4.5236
_cell_length_b 4.5236
_cell_length_c 9.6975
_cell_angle_alpha 76.51
_cell_angle_beta 76.51
_cell_angle_gamma 90.00
loop_
_symmetry_equiv_pos_as_xyz
'x,y,z'
loop_
_atom_site_label
_atom_site_fract_x
_atom_site_fract_y
_atom_site_fract_z
La1 0.7500 0.2500 0.5000
I1 0.5000 0.5000 0.0000
La2 0.0000 0.0000 0.0000
Cr1 0.3750 0.5566 0.7500
Cr2 0.4434 0.1250 0.2500
Cr3 0.8750 0.6934 0.7500
Cr4 0.3066 0.6250 0.2500
I2 0.2500 0.7500 0.5000


# La2Cr2I | the Alexandria database | GGA-PBE | relaxed
# E_form (uncorrected), eV/atom: 0.5807
# Total moment, Bohr magnetons per cell: 0.00
# ΔE to the lowest computed polymorph, meV per atom: 344
data_La2Cr2I
_chemical_formula_sum 'La2 Cr2 I1'
_symmetry_space_group_name_H-M 'P 1'
_symmetry_Int_Tables_number 1
_cell_length_a 5.7937
_cell_length_b 5.7937
_cell_length_c 5.6804
_cell_angle_alpha 59.34
_cell_angle_beta 59.34
_cell_angle_gamma 90.00
loop_
_symmetry_equiv_pos_as_xyz
'x,y,z'
loop_
_atom_site_label
_atom_site_fract_x
_atom_site_fract_y
_atom_site_fract_z
La1 0.7500 0.2500 0.5000
I1 0.0000 0.0000 0.0000
La2 0.2500 0.7500 0.5000
Cr1 0.6201 0.6201 0.7598
Cr2 0.3799 0.3799 0.2402


# La2CrI2 | the Alexandria database | GGA-PBE | relaxed
# E_form (uncorrected), eV/atom: 0.0975
# Total moment, Bohr magnetons per cell: 0.07
# ΔE to the lowest computed polymorph, meV per atom: 89
data_La2CrI2
_chemical_formula_sum 'La2 Cr1 I2'
_symmetry_space_group_name_H-M 'P 1'
_symmetry_Int_Tables_number 1
_cell_length_a 6.2452
_cell_length_b 6.2452
_cell_length_c 6.1078
_cell_angle_alpha 59.25
_cell_angle_beta 59.25
_cell_angle_gamma 90.00
loop_
_symmetry_equiv_pos_as_xyz
'x,y,z'
loop_
_atom_site_label
_atom_site_fract_x
_atom_site_fract_y
_atom_site_fract_z
La1 0.7500 0.2500 0.5000
La2 0.2500 0.7500 0.5000
I1 0.6978 0.6978 0.6044
Cr1 0.0000 0.0000 0.0000
I2 0.3022 0.3022 0.3956


Q: Number 2 is which compound?
A: La2Cr2I


Q: Which formula does entry 1 have?
A: LaCr2I


Repeat the second record exactly.
# La2Cr2I | the Alexandria database | GGA-PBE | relaxed
# E_form (uncorrected), eV/atom: 0.5807
# Total moment, Bohr magnetons per cell: 0.00
# ΔE to the lowest computed polymorph, meV per atom: 344
data_La2Cr2I
_chemical_formula_sum 'La2 Cr2 I1'
_symmetry_space_group_name_H-M 'P 1'
_symmetry_Int_Tables_number 1
_cell_length_a 5.7937
_cell_length_b 5.7937
_cell_length_c 5.6804
_cell_angle_alpha 59.34
_cell_angle_beta 59.34
_cell_angle_gamma 90.00
loop_
_symmetry_equiv_pos_as_xyz
'x,y,z'
loop_
_atom_site_label
_atom_site_fract_x
_atom_site_fract_y
_atom_site_fract_z
La1 0.7500 0.2500 0.5000
I1 0.0000 0.0000 0.0000
La2 0.2500 0.7500 0.5000
Cr1 0.6201 0.6201 0.7598
Cr2 0.3799 0.3799 0.2402